Entry 1:
Entry from Alexandria: Pr3RhAu2 after structural relaxation (PBE).

The calculation puts the excess energy over the best structure of this formula in the dataset at 0.15 eV per formula unit. The calculated formation energy is -0.665 eV/atom.

The structure belongs to space group C2/c (No. 15); the cell edges are 13.9443, 6.0571 and 8.3374 Å and the angles 90.00°, 107.34° and 90.00°. The asymmetric unit holds Pr at (0.0000, 0.0010, 0.2500), Pr at (0.1485, 0.4990, 0.0740), Rh at (0.0000, 0.4991, 0.7500) and Au at (0.1739, 0.0010, 0.5869).

***

Entry 2:
Entry from Alexandria: Cr2WCl after structural relaxation (PBE).

The raw formation energy is 0.541 eV per atom. The calculation puts the excess energy over the best structure of this formula in the dataset at 1.23 eV per formula unit.

The structure belongs to space group C2/m (No. 12); the cell edges are 7.7111, 2.9240 and 7.3819 Å and the angles 90.00°, 119.11° and 90.00°. The asymmetric unit holds Cr at (0.1391, 0.0000, 0.3169), W at (0.0000, 0.5000, 0.5000) and Cl at (0.0000, 0.5000, 0.0000).

***

Entry 3:
Entry from Alexandria: InCuReHg2 after structural relaxation (PBE).

The calculated formation energy is 1.262 eV/atom.

The structure belongs to space group P4/mmm (No. 123); the cell edges are 4.9192, 4.9192 and 4.9851 Å and the angles 90.00°, 90.00° and 90.00°. The asymmetric unit holds In at (0.0000, 0.0000, 0.0000), Cu at (0.0000, 0.0000, 0.5000), Re at (0.5000, 0.5000, 0.0000) and Hg at (0.0000, 0.5000, 0.5000).

***

Entry 4:
Entry from Alexandria: Nd3SbAsBr after structural relaxation (PBE).

The raw formation energy is -1.157 eV per atom.

The structure belongs to space group P2_1/m (No. 11); the cell edges are 8.7170, 4.3851 and 9.8983 Å and the angles 90.00°, 103.56° and 90.00°. The asymmetric unit holds Nd at (0.0688, 0.2500, 0.3498), Nd at (0.2046, 0.2500, 0.9970), Nd at (0.3964, 0.7500, 0.6240), Sb at (0.3118, 0.7500, 0.2767), As at (0.1637, 0.2500, 0.6525) and Br at (0.3852, 0.7500, 0.9142).

***

Entry 5:
Entry from Alexandria: PmNiAsAu after structural relaxation (PBE).

The calculated formation energy is -0.315 eV/atom.

The structure belongs to space group F-43m (No. 216); the cell edges are 6.7853, 6.7853 and 6.7853 Å and the angles 90.00°, 90.00° and 90.00°. The asymmetric unit holds Pm at (0.0000, 0.0000, 0.0000), Ni at (0.2500, 0.2500, 0.2500), As at (0.0000, 0.0000, 0.5000) and Au at (0.2500, 0.2500, 0.7500).

***

Entry 6:
Entry from Alexandria: HfTh2H after structural relaxation (PBE).

The calculation puts the excess energy over the best structure of this formula in the dataset at 0.27 eV per formula unit.

The structure belongs to space group R-3m (No. 166, hexagonal axes); the cell edges are 3.3370, 3.3370 and 28.1975 Å and the angles 90.00°, 90.00° and 120.00°. The asymmetric unit holds Hf at (0.0000, 0.0000, 0.0000), Th at (0.0000, 0.0000, 0.1093) and H at (0.0000, 0.0000, 0.5000).

***

Entry 7:
Entry from Alexandria: Tl2NiMo after structural relaxation (PBE).

The calculation puts the excess energy over the best structure of this formula in the dataset at 0.97 eV per formula unit. The calculated formation energy is 0.672 eV/atom.

The structure belongs to space group P4/mmm (No. 123); the cell edges are 3.1490, 3.1490 and 7.3207 Å and the angles 90.00°, 90.00° and 90.00°. The asymmetric unit holds Tl at (0.0000, 0.0000, 0.2292), Ni at (0.5000, 0.5000, 0.0000) and Mo at (0.5000, 0.5000, 0.5000).

***

Entry 8:
Entry from Alexandria: MoBr3 after structural relaxation (PBE).

The raw formation energy is -0.279 eV per atom.

The structure belongs to space group P6_3/mmc (No. 194); the cell edges are 10.2457, 10.2457 and 3.5484 Å and the angles 90.00°, 90.00° and 120.00°. The asymmetric unit holds Mo at (0.3333, 0.6667, 0.2500) and Br at (0.2230, 0.4460, 0.7500).

***

Entry 9:
Entry from Alexandria: PdC3S after structural relaxation (PBE).

The raw formation energy is 2.397 eV per atom. The calculation puts the excess energy over the best structure of this formula in the dataset at 0.00 eV per formula unit.

The structure belongs to space group Pm-3m (No. 221); the cell edges are 3.6165, 3.6165 and 3.6165 Å and the angles 90.00°, 90.00° and 90.00°. The asymmetric unit holds Pd at (0.0000, 0.0000, 0.0000), C at (0.0000, 0.5000, 0.5000) and S at (0.5000, 0.5000, 0.5000).

***

Entry 10:
Entry from Alexandria: SmDyMg2 after structural relaxation (PBE).

The calculation puts the excess energy over the best structure of this formula in the dataset at 0.02 eV per formula unit. The calculated formation energy is -0.091 eV/atom.

The structure belongs to space group P4/mmm (No. 123); the cell edges are 5.3906, 5.3906 and 3.8241 Å and the angles 90.00°, 90.00° and 90.00°. The asymmetric unit holds Sm at (0.0000, 0.0000, 0.0000), Dy at (0.5000, 0.5000, 0.0000) and Mg at (0.0000, 0.5000, 0.5000).

***

Entry 11:
Entry from Alexandria: ZnCd2InHg after structural relaxation (PBE).

The calculation puts the excess energy over the best structure of this formula in the dataset at 0.00 eV per formula unit. The calculated formation energy is 0.175 eV/atom.

The structure belongs to space group P4/mmm (No. 123); the cell edges are 5.1652, 5.1652 and 5.2610 Å and the angles 90.00°, 90.00° and 90.00°. The asymmetric unit holds Zn at (0.0000, 0.0000, 0.0000), Cd at (0.0000, 0.5000, 0.0000), In at (0.0000, 0.0000, 0.5000) and Hg at (0.5000, 0.5000, 0.5000).

***

Entry 12:
Entry from Alexandria: MgSn2Pd2 after structural relaxation (PBE).

The calculated formation energy is -0.256 eV/atom.

The structure belongs to space group I4/mmm (No. 139); the cell edges are 4.1114, 4.1114 and 12.7496 Å and the angles 90.00°, 90.00° and 90.00°. The asymmetric unit holds Mg at (0.0000, 0.0000, 0.0000), Sn at (0.0000, 0.0000, 0.3870) and Pd at (0.0000, 0.5000, 0.2500).